# CoSb2Br PBE relaxed
# - Polymorph energy (0 for the lowest one): 0.223 eV per atom
# - Calculated density: 6.1 Mg/m³
# - Energy relative to the elements, uncorrected: 76 meV per atom
data_CoSb2Br
_space_group_name_H-M_alt 'C 1 m 1'
_space_group_IT_number 8
_cell_length_a 13.004
_cell_length_b 3.368
_cell_length_c 5.186
_cell_angle_alpha 90.00
_cell_angle_beta 112.65
_cell_angle_gamma 90.00
loop_
_space_group_symop_operation_xyz
'x,y,z'
'x,-y,z'
'x+1/2,y+1/2,z'
'x+1/2,-y+1/2,z'
loop_
_atom_site_label
_atom_site_fract_x
_atom_site_fract_y
_atom_site_fract_z
_atom_site_occupancy
Co1 0.000 0.000 0.000 1
Sb1 0.347 0.000 0.690 1
Sb2 0.483 0.000 0.341 1
Br1 0.142 0.500 0.971 1